[1]
Material: TePO2
Method: DFT, PBE
State: relaxed

E_form (uncorrected) ... 477 meV/atom
Crystal system ... cubic
Space-group type ... No. 225
Excess energy over the best structure of this formula in the dataset ... 0.960 eV/atom

extended XYZ file:
```
4
Lattice="0.000 2.954 2.954 2.954 0.000 2.954 2.954 2.954 0.000" Properties=species:S:1:pos:R:3 pbc="T T T"
Te 2.954 2.954 2.954
O 4.431 4.431 4.431
P 0.000 0.000 0.000
O 1.477 1.477 1.477
```


[2]
Material: Pm2GaP3Rh4
Method: DFT, PBE
State: relaxed

Crystal system ... tetragonal
DFT formation energy ... -1040 meV per atom
Space-group type ... No. 115

extended XYZ file:
```
10
Lattice="-2.398 0.271 3.340 -2.083 -3.338 -1.225 6.329 -5.790 5.014" Properties=species:S:1:pos:R:3 pbc="T T T"
P -0.189 -2.449 0.063
P 3.164 -2.895 2.507
Rh 2.802 -3.525 4.840
Ga 0.924 -4.428 3.565
Pm 3.692 -5.999 3.138
Pm 0.396 -1.324 2.934
P 4.277 -4.875 6.009
Rh 1.286 -3.799 1.232
Rh 0.000 0.000 0.000
Rh -2.241 -1.533 1.058
```


[3]
Material: ZrGe2Pd
Method: DFT, PBE
State: relaxed

Crystal system ... trigonal
DFT formation energy ... -509 meV per atom
Space-group type ... No. 166

extended XYZ file:
```
4
Lattice="-1.186 -3.840 1.009 2.691 -3.139 -0.275 1.865 -1.556 4.782" Properties=species:S:1:pos:R:3 pbc="T T T"
Pd 1.685 -4.268 2.758
Zr 0.000 0.000 0.000
Ge 0.915 -2.093 1.621
Ge 2.454 -6.443 3.894
```


[4]
Material: AcPmSiGe
Method: DFT, PBE
State: relaxed

E_form (uncorrected) ... -418 meV/atom
Crystal system ... cubic
Space-group type ... No. 216

extended XYZ file:
```
4
Lattice="5.330 0.000 0.000 2.665 4.616 0.000 2.665 1.539 4.352" Properties=species:S:1:pos:R:3 pbc="T T T"
Si 2.665 1.539 1.088
Ge 7.995 4.616 3.264
Ac 5.330 3.077 2.176
Pm 0.000 0.000 0.000
```


[5]
Material: Tb3Dy4Y2
Method: DFT, PBE
State: relaxed

Crystal system ... monoclinic
DFT formation energy ... 99 meV per atom
Space-group type ... No. 15
Excess energy over the best structure of this formula in the dataset ... 0.081 eV/atom

extended XYZ file:
```
18
Lattice="5.756 1.663 1.191 2.230 10.999 0.768 2.230 4.272 10.165" Properties=species:S:1:pos:R:3 pbc="T T T"
Tb 6.547 8.216 7.292
Y 7.010 8.262 3.935
Tb 5.153 13.789 8.508
Dy 4.628 6.301 2.481
Dy 2.476 9.485 1.673
Y 6.085 11.378 6.166
Dy 5.354 5.471 9.035
Tb 2.185 3.605 1.217
Dy 4.862 11.463 3.089
Dy 8.467 13.386 7.554
Tb 5.064 3.145 3.616
Dy 7.741 7.449 10.452
Tb 3.669 8.718 4.833
Y 3.207 8.672 8.189
Dy 5.589 10.633 9.643
Tb 8.031 13.329 10.907
Y 4.131 5.556 5.958
Dy 1.749 3.548 4.570
```


[6]
Material: PmHoScGa
Method: DFT, PBE
State: relaxed

Crystal system ... cubic
DFT formation energy ... -144 meV per atom
Space-group type ... No. 216

extended XYZ file:
```
4
Lattice="5.245 0.000 0.000 2.622 4.542 0.000 2.622 1.514 4.282" Properties=species:S:1:pos:R:3 pbc="T T T"
Pm 5.245 3.028 2.141
Ga 2.622 1.514 1.071
Ho 0.000 0.000 0.000
Sc 7.867 4.542 3.212
```


[7]
Material: TbCeOs
Method: DFT, PBE
State: relaxed

Crystal system ... cubic
DFT formation energy ... -124 meV per atom
Space-group type ... No. 216
Excess energy over the best structure of this formula in the dataset ... 0.120 eV/atom

extended XYZ file:
```
3
Lattice="-2.869 -0.253 -3.859 0.660 -3.475 -3.267 -3.200 -3.576 -0.390" Properties=species:S:1:pos:R:3 pbc="T T T"
Ce -2.705 -3.652 -3.758
Tb 0.000 0.000 0.000
Os -1.352 -1.826 -1.879
```


[8]
Material: Mg2TaAu
Method: DFT, PBE
State: relaxed

Crystal system ... tetragonal
DFT formation energy ... -48 meV per atom
Space-group type ... No. 99
Excess energy over the best structure of this formula in the dataset ... 0.053 eV/atom

extended XYZ file:
```
4
Lattice="3.036 0.000 0.000 0.000 3.036 0.000 0.000 0.000 8.280" Properties=species:S:1:pos:R:3 pbc="T T T"
Ta 0.000 0.000 4.244
Mg 0.000 0.000 8.063
Mg 1.518 1.518 2.171
Au 1.518 1.518 6.222
```


[9]
Material: SrCu2GeN
Method: DFT, PBE
State: relaxed

E_form (uncorrected) ... -157 meV/atom
Crystal system ... orthorhombic
Space-group type ... No. 63

extended XYZ file:
```
10
Lattice="3.833 0.000 0.000 -1.917 5.877 0.000 0.000 0.000 7.156" Properties=species:S:1:pos:R:3 pbc="T T T"
Cu 1.917 4.019 3.180
Ge 0.000 3.134 1.789
Cu 1.917 4.019 0.398
Sr 1.917 0.456 1.789
Ge 1.917 2.743 5.367
Cu 0.000 1.858 6.758
Cu 0.000 1.858 3.976
N 0.000 0.000 0.000
Sr 0.000 5.421 5.367
N 0.000 0.000 3.578
```


[10]
Material: Mg2Ga
Method: DFT, PBE
State: relaxed

Crystal system ... monoclinic
DFT formation energy ... -67 meV per atom
Space-group type ... No. 8

extended XYZ file:
```
6
Lattice="-5.328 2.268 -0.741 -5.716 -1.070 -0.508 -2.062 0.689 6.440" Properties=species:S:1:pos:R:3 pbc="T T T"
Ga -11.637 1.548 2.779
Mg -5.065 0.978 5.574
Ga -7.494 0.930 0.840
Mg -8.472 1.227 3.468
Mg -4.418 0.646 1.890
Mg -11.091 1.214 -1.093
```


[11]
Material: K2LaPb
Method: DFT, PBE
State: relaxed

Crystal system ... orthorhombic
DFT formation energy ... 156 meV per atom
Space-group type ... No. 47

extended XYZ file:
```
4
Lattice="-1.482 -0.571 3.338 0.498 -6.269 -0.850 6.383 0.120 2.855" Properties=species:S:1:pos:R:3 pbc="T T T"
K 3.325 0.063 1.487
Pb 4.295 -3.330 3.385
La 1.104 -3.390 1.958
K 6.249 0.118 2.795
```


[12]
Material: In2OsPt
Method: DFT, PBE
State: relaxed

Crystal system ... tetragonal
DFT formation energy ... 116 meV per atom
Space-group type ... No. 139

extended XYZ file:
```
4
Lattice="4.797 0.021 -0.003 0.789 4.732 0.003 -2.793 -2.377 3.093" Properties=species:S:1:pos:R:3 pbc="T T T"
In 2.793 2.376 0.000
In 5.586 4.753 0.000
Pt 0.395 2.366 1.548
Os 2.399 0.010 1.545
```


[13]
Material: CrCuOs2
Method: DFT, PBE
State: relaxed

Crystal system ... tetragonal
DFT formation energy ... 270 meV per atom
Space-group type ... No. 123
Excess energy over the best structure of this formula in the dataset ... 0.113 eV/atom

extended XYZ file:
```
4
Lattice="2.689 0.000 0.000 0.000 2.689 0.000 0.000 0.000 7.332" Properties=species:S:1:pos:R:3 pbc="T T T"
Cu 1.345 1.345 5.499
Cr 1.345 1.345 1.833
Os 0.000 0.000 0.066
Os 0.000 0.000 3.600
```


[14]
Material: LiTb8Ga2
Method: DFT, PBE
State: relaxed

Crystal system ... monoclinic
DFT formation energy ... -169 meV per atom
Space-group type ... No. 12

extended XYZ file:
```
11
Lattice="-1.776 -4.689 -0.696 6.356 -2.518 0.747 -2.129 2.240 8.750" Properties=species:S:1:pos:R:3 pbc="T T T"
Tb 1.727 -4.170 5.285
Li -0.888 -2.344 -0.348
Tb -1.769 -0.175 5.693
Ga -1.031 -3.079 4.966
Tb 4.220 -4.792 3.108
Tb -2.199 -3.053 7.774
Tb 0.724 -0.796 3.517
Ga 3.482 -1.888 3.835
Tb 1.507 -3.535 1.566
Tb 0.944 -1.431 7.235
Tb 4.650 -1.914 1.028
```


[15]
Material: YPbBr2
Method: DFT, PBE
State: relaxed

E_form (uncorrected) ... -577 meV/atom
Crystal system ... orthorhombic
Space-group type ... No. 65
Excess energy over the best structure of this formula in the dataset ... 0.448 eV/atom

extended XYZ file:
```
4
Lattice="-1.982 -0.813 5.407 0.651 -5.207 -2.508 3.326 -0.160 1.195" Properties=species:S:1:pos:R:3 pbc="T T T"
Br -0.666 -3.010 1.449
Y 1.989 -2.683 -0.656
Br 0.000 0.000 0.000
Pb 0.672 -0.487 3.301
```


[16]
Material: Ti2GaC
Method: DFT, PBE
State: relaxed

Crystal system ... tetragonal
DFT formation energy ... -121 meV per atom
Space-group type ... No. 122
Excess energy over the best structure of this formula in the dataset ... 0.638 eV/atom

extended XYZ file:
```
8
Lattice="-4.398 -3.952 -2.060 2.980 -4.760 2.768 -2.258 -3.905 2.797" Properties=species:S:1:pos:R:3 pbc="T T T"
Ti 0.450 -4.713 2.033
C 0.006 -6.510 2.960
C -0.709 -4.356 0.354
Ti -2.643 -3.773 -0.102
Ga 0.000 0.000 0.000
Ti -3.137 -10.229 2.530
Ti -2.024 -6.518 2.551
Ga -3.683 -6.106 0.546
```


[17]
Material: Pm3B2PtRh9
Method: DFT, PBE
State: relaxed

Crystal system ... trigonal
DFT formation energy ... -481 meV per atom
Space-group type ... No. 164

extended XYZ file:
```
15
Lattice="5.793 0.000 0.000 -2.897 5.017 0.000 0.000 0.000 8.884" Properties=species:S:1:pos:R:3 pbc="T T T"
Rh 2.897 3.387 6.475
B 2.897 1.672 7.595
Rh -1.485 4.202 2.408
Rh 0.000 1.630 2.408
Rh 1.448 2.508 0.000
B 0.000 3.345 1.289
Pm 0.000 3.345 5.567
Rh -1.448 2.508 0.000
Pm 0.000 0.000 0.000
Rh 4.382 0.815 6.475
Pt 0.000 0.000 4.442
Pm 2.897 1.672 3.316
Rh 1.411 0.815 6.475
Rh 1.485 4.202 2.408
Rh 2.897 0.000 0.000
```


[18]
Material: Na3Np3CuS8
Method: DFT, PBE
State: relaxed

E_form (uncorrected) ... -1126 meV/atom
Crystal system ... monoclinic
Space-group type ... No. 12

extended XYZ file:
```
15
Lattice="7.783 0.000 0.000 -3.891 6.732 -0.025 0.000 -4.464 6.721" Properties=species:S:1:pos:R:3 pbc="T T T"
Np -1.946 1.134 3.348
S 3.891 2.277 1.916
S 0.000 -0.010 4.779
Np 1.946 1.134 3.348
S 5.851 -1.124 1.923
Na -1.946 3.366 -0.013
Cu 0.000 -2.232 3.360
S 0.000 2.250 1.799
S 3.891 0.018 4.896
S 1.960 3.392 4.772
S -1.960 3.392 4.772
Np 3.891 -2.232 3.360
Na 1.946 3.366 -0.013
S 1.932 -1.124 1.923
Na 0.000 0.000 0.000
```


[19]
Material: RbNa2Au
Method: DFT, PBE
State: relaxed

Crystal system ... monoclinic
DFT formation energy ... -161 meV per atom
Space-group type ... No. 14
Excess energy over the best structure of this formula in the dataset ... 0.024 eV/atom

extended XYZ file:
```
16
Lattice="9.427 0.000 0.000 0.000 10.958 -0.483 0.000 -5.703 5.809" Properties=species:S:1:pos:R:3 pbc="T T T"
Na 3.152 0.424 5.304
Rb 9.293 0.866 3.608
Na 8.392 -3.156 4.209
Au 6.711 2.026 1.065
Rb 4.579 -1.090 1.959
Rb 4.847 6.345 3.366
Au 7.430 7.505 0.823
Na 5.748 2.323 3.968
Na 3.679 2.932 1.358
Na 6.275 4.830 0.021
Au 1.997 -2.250 4.503
Na 7.865 10.309 -0.220
Rb 0.134 4.389 1.718
Au 2.716 3.229 4.261
Na 1.035 8.411 1.116
Na 1.562 -5.055 5.546
```


[20]
Material: TaTeSe2
Method: DFT, PBE
State: relaxed

E_form (uncorrected) ... 200 meV/atom
Crystal system ... tetragonal
Space-group type ... No. 122

extended XYZ file:
```
8
Lattice="-3.079 -6.201 0.444 3.078 -1.090 6.121 -3.993 -1.493 5.673" Properties=species:S:1:pos:R:3 pbc="T T T"
Se -3.242 -3.766 6.226
Se -2.784 -4.882 2.496
Ta 0.000 0.000 0.000
Te -0.458 -3.114 7.538
Se 0.787 -1.333 5.264
Te -0.001 -3.646 3.283
Se -2.749 -7.587 10.490
Ta -3.536 -5.670 4.699
```


Number 1: density 6.139 g cm⁻³, uncorrected energy -0.1521 hartree per atom. Number 2: density 8.506 g cm⁻³, uncorrected energy -0.2520 hartree per atom. Number 3: density 7.978 g cm⁻³, uncorrected energy -0.2298 hartree per atom. Number 4: density 7.330 g cm⁻³, uncorrected energy -0.1890 hartree per atom. Number 5: density 7.574 g cm⁻³, uncorrected energy -0.1810 hartree per atom. Number 6: density 6.912 g cm⁻³, uncorrected energy -0.1770 hartree per atom. Number 7: density 10.293 g cm⁻³, uncorrected energy -0.2715 hartree per atom. Number 8: density 9.282 g cm⁻³, uncorrected energy -0.1701 hartree per atom. Number 9: density 6.208 g cm⁻³, uncorrected energy -0.1735 hartree per atom. Number 10: density 3.137 g cm⁻³, uncorrected energy -0.0786 hartree per atom. Number 11: density 4.294 g cm⁻³, uncorrected energy -0.0938 hartree per atom. Number 12: density 14.556 g cm⁻³, uncorrected energy -0.2047 hartree per atom. Number 13: density 15.532 g cm⁻³, uncorrected energy -0.3225 hartree per atom. Number 14: density 7.741 g cm⁻³, uncorrected energy -0.1566 hartree per atom. Number 15: density 6.663 g cm⁻³, uncorrected energy -0.1454 hartree per atom. Number 16: density 5.136 g cm⁻³, uncorrected energy -0.2621 hartree per atom. Number 17: density 10.148 g cm⁻³, uncorrected energy -0.2622 hartree per atom. Number 18: density 5.201 g cm⁻³, uncorrected energy -0.2371 hartree per atom. Number 19: density 3.800 g cm⁻³, uncorrected energy -0.0692 hartree per atom. Number 20: density 6.278 g cm⁻³, uncorrected energy -0.1944 hartree per atom.